A relaxed structure of K3Ce3MgO8, computed with PBE.

Space-group type: R-3m (166)
Electronic total energy, eV/atom: -6.83
Formation energy without anion corrections, eV/atom: -2.67
DOS at the Fermi energy, states/eV/atom: 0.455

extended XYZ file:
```
15
Lattice="3.500 2.021 6.274 -3.500 2.021 6.274 0.000 -4.042 6.274" Properties=species:S:1:pos:R:3 pbc="T T T"
K -1.750 -1.010 6.274
K -1.750 1.010 12.547
K 0.000 2.021 6.274
Ce -3.500 0.000 9.411
Ce -1.750 1.010 3.137
Ce 1.750 1.010 3.137
Mg 0.000 0.000 9.411
O 0.000 0.000 4.336
O -1.717 -0.991 10.479
O 0.000 -1.983 8.342
O -1.717 0.991 8.342
O 1.717 -0.991 10.479
O 0.000 1.983 10.479
O 1.717 0.991 8.342
O 0.000 0.000 14.485
```

***

A relaxed structure of Cs2SiAg2, computed with PBE.

Space-group type: P4/mbm (127)
Electronic total energy, eV/atom: -2.31
Formation energy without anion corrections, eV/atom: 0.26
DOS at the Fermi energy, states/eV/atom: 0.010

extended XYZ file:
```
10
Lattice="7.301 0.000 0.000 0.000 7.301 0.000 0.000 0.000 6.324" Properties=species:S:1:pos:R:3 pbc="T T T"
Cs 1.257 2.394 0.000
Cs 2.394 6.044 0.000
Cs 4.907 1.257 0.000
Cs 6.044 4.907 0.000
Si 0.000 0.000 3.162
Si 3.650 3.650 3.162
Ag 1.556 5.206 3.162
Ag 2.095 1.556 3.162
Ag 5.206 5.745 3.162
Ag 5.745 2.095 3.162
```

***

A relaxed structure of BaNaHg3, computed with PBE.

Space-group type: Pm-3m (221)
Electronic total energy, eV/atom: -1.01
E_form, eV per formula unit: -0.9
DOS at the Fermi energy, states/eV/atom: 0.964

extended XYZ file:
```
5
Lattice="5.563 0.000 0.000 0.000 5.563 0.000 0.000 0.000 5.563" Properties=species:S:1:pos:R:3 pbc="T T T"
Ba 0.000 0.000 0.000
Na 2.782 2.782 2.782
Hg 0.000 2.782 2.782
Hg 2.782 0.000 2.782
Hg 2.782 2.782 0.000
```

***

A relaxed structure of La4SmDy5, computed with PBE.

Space-group type: P4/nmm (129)
Electronic total energy, eV/atom: -4.56
E_form, eV per formula unit: 1.8
DOS at the Fermi energy, states/eV/atom: 1.174

extended XYZ file:
```
20
Lattice="10.764 0.000 0.000 0.000 10.764 0.000 0.000 0.000 5.876" Properties=species:S:1:pos:R:3 pbc="T T T"
La 0.480 8.073 0.746
La 2.691 5.862 5.130
La 2.691 10.284 5.130
La 4.902 8.073 0.746
La 5.862 2.691 5.130
La 8.073 0.480 0.746
La 8.073 4.902 0.746
La 10.284 2.691 5.130
Sm 2.691 2.691 5.207
Sm 8.073 8.073 0.669
Dy 0.966 0.966 2.038
Dy 0.966 4.416 2.038
Dy 2.691 8.073 2.938
Dy 4.416 0.966 2.038
Dy 4.416 4.416 2.038
Dy 6.348 6.348 3.838
Dy 6.348 9.798 3.838
Dy 8.073 2.691 2.938
Dy 9.798 6.348 3.838
Dy 9.798 9.798 3.838
```

***

A relaxed structure of CsKIr2, computed with PBE.

Space-group type: I-42d (122)
Electronic total energy, eV/atom: -3.81
E_form, eV per formula unit: 4.4
DOS at the Fermi energy, states/eV/atom: 0.755

extended XYZ file:
```
8
Lattice="-2.289 2.289 11.820 2.289 -2.289 11.820 2.289 2.289 -11.820" Properties=species:S:1:pos:R:3 pbc="T T T"
Cs 0.000 0.000 0.000
Cs 0.000 2.289 5.910
K 2.289 0.000 5.910
K 0.000 0.000 11.820
Ir -0.452 1.144 2.955
Ir 1.144 1.836 8.865
Ir 0.452 3.433 2.955
Ir -1.144 2.741 8.865
```

***

A relaxed structure of SrZnAsI, computed with PBE.

Space-group type: R-3m (166)
Electronic total energy, eV/atom: -3.31
Formation energy without anion corrections, eV/atom: -1.02
DOS at the Fermi energy, states/eV/atom: 0.015

extended XYZ file:
```
8
Lattice="2.194 1.266 15.424 -2.194 1.266 15.424 0.000 -2.533 15.424" Properties=species:S:1:pos:R:3 pbc="T T T"
Sr 0.000 0.000 3.601
Sr 0.000 0.000 42.673
Zn 0.000 0.000 14.483
Zn 0.000 0.000 31.790
As 0.000 0.000 17.078
As 0.000 0.000 29.196
I 0.000 0.000 9.804
I 0.000 0.000 36.469
```

***

A relaxed structure of InTePt2, computed with PBE.

Space-group type: Amm2 (38)
Electronic total energy, eV/atom: -4.78
Formation energy without anion corrections, eV/atom: -0.29
DOS at the Fermi energy, states/eV/atom: 0.507

extended XYZ file:
```
4
Lattice="3.986 0.000 0.000 0.000 1.884 5.381 0.000 -1.884 5.381" Properties=species:S:1:pos:R:3 pbc="T T T"
In 0.000 0.000 0.000
Te 1.993 0.000 3.146
Pt 0.000 0.000 7.892
Pt 1.993 0.000 5.847
```